Entry from the Alexandria database: a relaxed BaMg2AlHg4 crystal (PBE).

As for the total energy: -1.51 eV/atom.

```
BaMg2AlHg4
1.0
-3.170 3.306 -1.559
-4.750 -0.834 0.383
-2.658 5.211 8.945
Ba Mg Al Hg
1 2 1 4
Direct
0.000 0.000 0.000 Ba
0.770 0.770 0.691 Mg
0.230 0.230 0.309 Mg
0.500 0.500 0.500 Al
0.402 0.402 0.795 Hg
0.871 0.871 0.386 Hg
0.129 0.129 0.614 Hg
0.598 0.598 0.205 Hg
```